<i>
{"formula": "TaTc4", "functional": "PBE-GGA", "state": "optimized geometry", "lattice": [[-3.1269, 3.1269, 1.9623], [3.1269, -3.1269, 1.9623], [3.1269, 3.1269, -1.9623]], "species": ["Ta", "Tc", "Tc", "Tc", "Tc"], "fractional_positions": [[0.0000, 0.0000, 0.0000], [0.1958, 0.4093, 0.6051], [0.4093, 0.8042, 0.2135], [0.5907, 0.1958, 0.7865], [0.8042, 0.5907, 0.3949]], "magnetic_moment_mub_per_fu": 0.0}

=====

<ii>
{"formula": "TaTc4", "functional": "PBE-GGA", "state": "optimized geometry", "lattice": [[-2.8778, 2.8778, 2.8778], [2.8778, -2.8778, 2.8778], [2.8778, 2.8778, -2.8778]], "species": ["Ta", "Tc", "Tc", "Tc", "Tc"], "fractional_positions": [[0.0000, 0.0000, 0.0000], [0.0000, 0.0000, 0.5000], [0.0000, 0.5000, 0.0000], [0.5000, 0.0000, 0.0000], [0.5000, 0.5000, 0.5000]], "magnetic_moment_mub_per_fu": 0.0}

=====

Most stable of them? <i>.

=====

<i>
{"formula": "TaTc4", "functional": "PBE-GGA", "state": "optimized geometry", "lattice": [[4.6643, 0.0000, 0.0000], [0.0000, 4.6643, 0.0000], [0.0000, 0.0000, 4.6643]], "species": ["Ta", "Tc", "Tc", "Tc", "Tc"], "fractional_positions": [[0.0000, 0.0000, 0.0000], [0.0000, 0.0000, 0.5000], [0.0000, 0.5000, 0.0000], [0.5000, 0.0000, 0.0000], [0.5000, 0.5000, 0.5000]], "magnetic_moment_mub_per_fu": 1.7}

=====

<ii>
{"formula": "TaTc4", "functional": "PBE-GGA", "state": "optimized geometry", "lattice": [[-1.9930, 1.9930, 5.3691], [1.9930, -1.9930, 5.3691], [1.9930, 1.9930, -5.3691]], "species": ["Ta", "Tc", "Tc", "Tc", "Tc"], "fractional_positions": [[0.0000, 0.0000, 0.0000], [0.2500, 0.7500, 0.5000], [0.3927, 0.3927, 0.0000], [0.6073, 0.6073, 0.0000], [0.7500, 0.2500, 0.5000]], "magnetic_moment_mub_per_fu": 0.0}

=====

Most stable of them? <ii>.

=====

<i>
{"formula": "Ta3Tc5", "functional": "PBE-GGA", "state": "optimized geometry", "lattice": [[7.6708, 0.0000, 0.0000], [-3.8354, 6.6431, 0.0000], [0.0000, 0.0000, 5.1490]], "species": ["Ta", "Ta", "Ta", "Ta", "Ta", "Ta", "Tc", "Tc", "Tc", "Tc", "Tc", "Tc", "Tc", "Tc", "Tc", "Tc"], "fractional_positions": [[0.0000, 0.3924, 0.2500], [0.0000, 0.6076, 0.7500], [0.3924, 0.0000, 0.2500], [0.3924, 0.3924, 0.7500], [0.6076, 0.0000, 0.7500], [0.6076, 0.6076, 0.2500], [0.0000, 0.2237, 0.7500], [0.0000, 0.7763, 0.2500], [0.2237, 0.0000, 0.7500], [0.2237, 0.2237, 0.2500], [0.3333, 0.6667, 0.0000], [0.3333, 0.6667, 0.5000], [0.6667, 0.3333, 0.0000], [0.6667, 0.3333, 0.5000], [0.7763, 0.0000, 0.2500], [0.7763, 0.7763, 0.7500]], "magnetic_moment_mub_per_fu": 0.0}

=====

<ii>
{"formula": "Ta3Tc5", "functional": "PBE-GGA", "state": "optimized geometry", "lattice": [[3.1755, -4.4569, 0.0000], [3.1755, 4.4569, 0.0000], [0.0000, 0.0000, 4.4735]], "species": ["Ta", "Ta", "Ta", "Tc", "Tc", "Tc", "Tc", "Tc"], "fractional_positions": [[0.0000, 0.0000, 0.0000], [0.2552, 0.7448, 0.5000], [0.7448, 0.2552, 0.5000], [0.0000, 0.5000, 0.0000], [0.2459, 0.2459, 0.5000], [0.5000, 0.0000, 0.0000], [0.5000, 0.5000, 0.0000], [0.7541, 0.7541, 0.5000]], "magnetic_moment_mub_per_fu": 0.0}

=====

<iii>
{"formula": "Ta3Tc5", "functional": "PBE-GGA", "state": "optimized geometry", "lattice": [[2.5251, -7.1461, 0.0000], [2.5251, 7.1461, 0.0000], [-2.4312, 0.0000, 7.1804]], "species": ["Ta", "Ta", "Ta", "Ta", "Ta", "Ta", "Tc", "Tc", "Tc", "Tc", "Tc", "Tc", "Tc", "Tc", "Tc", "Tc"], "fractional_positions": [[0.1811, 0.8189, 0.0000], [0.2459, 0.7541, 0.5000], [0.3183, 0.3183, 0.6374], [0.6817, 0.6817, 0.3626], [0.7541, 0.2459, 0.5000], [0.8189, 0.1811, 0.0000], [0.0640, 0.2602, 0.3269], [0.2410, 0.5693, 0.8032], [0.2513, 0.2513, 0.9995], [0.2602, 0.0640, 0.3269], [0.4307, 0.7590, 0.1968], [0.5693, 0.2410, 0.8032], [0.7398, 0.9360, 0.6731], [0.7487, 0.7487, 0.0005], [0.7590, 0.4307, 0.1968], [0.9360, 0.7398, 0.6731]], "magnetic_moment_mub_per_fu": 0.0}

=====

Most stable of them? <ii>.

=====

<i>
{"formula": "Ta5Tc3", "functional": "PBE-GGA", "state": "optimized geometry", "lattice": [[7.6803, 0.0000, 0.0000], [-3.8401, 6.6513, 0.0000], [0.0000, 0.0000, 5.4074]], "species": ["Ta", "Ta", "Ta", "Ta", "Ta", "Ta", "Ta", "Ta", "Ta", "Ta", "Tc", "Tc", "Tc", "Tc", "Tc", "Tc"], "fractional_positions": [[0.0000, 0.2308, 0.2500], [0.0000, 0.7692, 0.7500], [0.2308, 0.0000, 0.2500], [0.2308, 0.2308, 0.7500], [0.3333, 0.6667, 0.0000], [0.3333, 0.6667, 0.5000], [0.6667, 0.3333, 0.0000], [0.6667, 0.3333, 0.5000], [0.7692, 0.0000, 0.7500], [0.7692, 0.7692, 0.2500], [0.0000, 0.4005, 0.7500], [0.0000, 0.5995, 0.2500], [0.4005, 0.0000, 0.7500], [0.4005, 0.4005, 0.2500], [0.5995, 0.0000, 0.2500], [0.5995, 0.5995, 0.7500]], "magnetic_moment_mub_per_fu": 0.0}

=====

<ii>
{"formula": "Ta5Tc3", "functional": "PBE-GGA", "state": "optimized geometry", "lattice": [[3.1982, 0.0000, 0.0000], [0.0000, 3.1982, 0.0000], [0.0000, 0.0000, 13.0826]], "species": ["Ta", "Ta", "Ta", "Ta", "Ta", "Tc", "Tc", "Tc"], "fractional_positions": [[0.0000, 0.0000, 0.0000], [0.0000, 0.0000, 0.2422], [0.0000, 0.0000, 0.7578], [0.5000, 0.5000, 0.3794], [0.5000, 0.5000, 0.6206], [0.0000, 0.0000, 0.5000], [0.5000, 0.5000, 0.1223], [0.5000, 0.5000, 0.8777]], "magnetic_moment_mub_per_fu": 0.0}

=====

<iii>
{"formula": "Ta5Tc3", "functional": "PBE-GGA", "state": "optimized geometry", "lattice": [[5.7650, -5.1736, 0.0000], [5.7650, 5.1736, 0.0000], [-2.2538, 0.0000, 4.5967]], "species": ["Ta", "Ta", "Ta", "Ta", "Ta", "Ta", "Ta", "Ta", "Ta", "Ta", "Tc", "Tc", "Tc", "Tc", "Tc", "Tc"], "fractional_positions": [[0.0005, 0.9995, 0.2500], [0.9995, 0.0005, 0.7500], [0.2005, 0.3401, 0.2707], [0.2007, 0.6596, 0.9301], [0.3401, 0.2005, 0.7707], [0.3404, 0.7993, 0.5699], [0.6596, 0.2007, 0.4301], [0.6599, 0.7995, 0.2293], [0.7993, 0.3404, 0.0699], [0.7995, 0.6599, 0.7293], [0.0001, 0.3560, 0.6784], [0.9999, 0.6440, 0.3216], [0.3560, 0.0001, 0.1784], [0.4995, 0.5005, 0.2500], [0.5005, 0.4995, 0.7500], [0.6440, 0.9999, 0.8216]], "magnetic_moment_mub_per_fu": 0.0}

=====

Most stable of them? <ii>.

=====

<i>
{"formula": "TaTcTe2", "functional": "PBE-GGA", "state": "optimized geometry", "lattice": [[0.0000, 3.4529, 3.4529], [3.4529, 0.0000, 3.4529], [3.4529, 3.4529, 0.0000]], "species": ["Ta", "Tc", "Te", "Te"], "fractional_positions": [[0.0000, 0.0000, 0.0000], [0.7500, 0.7500, 0.7500], [0.2500, 0.2500, 0.2500], [0.5000, 0.5000, 0.5000]], "magnetic_moment_mub_per_fu": 1.2}

=====

<ii>
{"formula": "TaTcTe2", "functional": "PBE-GGA", "state": "optimized geometry", "lattice": [[1.6528, 0.9542, 10.2745], [-1.6528, 0.9542, 10.2745], [0.0000, -1.9084, 10.2745]], "species": ["Ta", "Tc", "Te", "Te"], "fractional_positions": [[0.0000, 0.0000, 0.0000], [0.2751, 0.2751, 0.2751], [0.5387, 0.5387, 0.5387], [0.7378, 0.7378, 0.7378]], "magnetic_moment_mub_per_fu": 0.0}

=====

<iii>
{"formula": "TaTcTe2", "functional": "PBE-GGA", "state": "optimized geometry", "lattice": [[-2.3189, 2.3189, 8.5210], [2.3189, -2.3189, 8.5210], [2.3189, 2.3189, -8.5210]], "species": ["Ta", "Ta", "Tc", "Tc", "Te", "Te", "Te", "Te"], "fractional_positions": [[0.0000, 0.0000, 0.0000], [0.7500, 0.2500, 0.5000], [0.2500, 0.7500, 0.5000], [0.5000, 0.5000, 0.0000], [0.1387, 0.6250, 0.0137], [0.3750, 0.3887, 0.5137], [0.6113, 0.1250, 0.9863], [0.8750, 0.8613, 0.4863]], "magnetic_moment_mub_per_fu": 0.0}

=====

Most stable of them? <ii>.